Y2ZnTe GGA-PBE optimized geometry; formation energy from raw total energies = -732.6 meV per atom; E above lowest polymorph = 0.112 eV per atom; space-group type = P4mm (99); energy = -5.069 eV/atom; crystal system = tetragonal
1.0
4.2775 0.0000 0.0000
0.0000 4.2775 0.0000
0.0000 0.0000 6.0766
Y Zn Te
2 1 1
Cartesian
0.0000 0.0000 0.0000
2.1388 2.1388 3.0279
0.0000 0.0000 3.0359
2.1388 2.1388 6.0649

=====

Y5ZnTe2 GGA-PBE optimized geometry; formation energy from raw total energies = -509.7 meV per atom; E above lowest polymorph = 0.199 eV per atom; space-group type = Cmcm (63); energy = -5.494 eV/atom; crystal system = orthorhombic
1.0
2.9887 -6.2969 0.0000
2.9887 6.2969 0.0000
0.0000 0.0000 13.1402
Y Zn Te
10 2 4
Cartesian
2.9887 5.5978 8.0682
2.9887 5.5978 11.6421
2.9887 1.7325 3.2851
2.9887 1.4749 7.4736
2.9887 1.4749 12.2367
2.9887 -1.4749 0.9035
2.9887 -1.4749 5.6666
2.9887 -1.7325 9.8552
2.9887 -5.5978 1.4981
2.9887 -5.5978 5.0720
2.9887 3.2664 9.8552
2.9887 -3.2664 3.2851
2.9887 3.9310 1.1166
2.9887 3.9310 5.4535
2.9887 -3.9310 7.6867
2.9887 -3.9310 12.0236

=====

Y2ZnTe GGA-PBE optimized geometry; formation energy from raw total energies = -561.5 meV per atom; E above lowest polymorph = 0.283 eV per atom; space-group type = Fm-3m (225); energy = -4.897 eV/atom; crystal system = cubic
1.0
0.0000 3.7039 3.7039
3.7039 0.0000 3.7039
3.7039 3.7039 0.0000
Y Zn Te
2 1 1
Cartesian
1.8520 1.8520 1.8520
5.5559 5.5559 5.5559
0.0000 0.0000 0.0000
3.7039 3.7039 3.7039

=====

Y2ZnTe GGA-PBE optimized geometry; formation energy from raw total energies = -494.2 meV per atom; E above lowest polymorph = 0.350 eV per atom; space-group type = I-42d (122); energy = -4.830 eV/atom; crystal system = tetragonal
1.0
-3.9966 3.9966 3.4714
3.9966 -3.9966 3.4714
3.9966 3.9966 -3.4714
Y Zn Te
4 2 2
Cartesian
5.9949 1.8870 -0.8678
1.8870 1.9983 0.8678
-1.9983 2.1096 2.6035
2.1096 1.9983 4.3392
0.0000 0.0000 0.0000
0.0000 3.9966 1.7357
3.9966 0.0000 1.7357
0.0000 0.0000 3.4714

=====

YZn2Te GGA-PBE optimized geometry; formation energy from raw total energies = -426.6 meV per atom; space-group type = C2/m (12); energy = -3.465 eV/atom; crystal system = monoclinic
1.0
3.1131 -3.0926 0.0000
3.1131 3.0926 0.0000
-0.0094 0.0000 4.6419
Y Zn Te
1 2 1
Cartesian
0.0000 0.0000 0.0000
1.5518 1.5463 2.3209
1.5518 -1.5463 2.3209
3.1131 0.0000 0.0000

=====

Y7Zn2Te2 GGA-PBE optimized geometry; formation energy from raw total energies = -636.3 meV per atom; space-group type = Imm2 (44); energy = -5.553 eV/atom; crystal system = orthorhombic
1.0
-2.0641 7.7223 4.8417
2.0641 -7.7223 4.8417
2.0641 7.7223 -4.8417
Y Zn Te
7 2 2
Cartesian
0.0000 0.0000 0.0000
2.0641 2.8493 -1.1162
2.0641 -2.1610 2.4087
2.0641 2.1610 2.4087
2.0641 5.7620 0.8919
0.0000 4.8730 3.7254
0.0000 1.9603 5.7336
0.0000 3.6302 0.8116
0.0000 11.8144 0.8116
0.0000 0.0000 3.3117
0.0000 7.7223 2.3273

=====

YZn3Te GGA-PBE optimized geometry; formation energy from raw total energies = 701.8 meV per atom; E above lowest polymorph = 0.194 eV per atom; space-group type = Pm-3m (221); energy = -1.984 eV/atom; crystal system = cubic
1.0
5.5502 0.0000 0.0000
0.0000 5.5502 0.0000
0.0000 0.0000 5.5502
Y Zn Te
1 3 1
Cartesian
0.0000 0.0000 0.0000
0.0000 0.0000 2.7751
0.0000 2.7751 0.0000
2.7751 0.0000 0.0000
2.7751 2.7751 2.7751

=====

Y2ZnTe GGA-PBE optimized geometry; formation energy from raw total energies = -844.7 meV per atom; E above lowest polymorph = 0.000 eV per atom; space-group type = Cmcm (63); energy = -5.181 eV/atom; crystal system = orthorhombic
1.0
2.1193 -11.7928 0.0000
2.1193 11.7928 0.0000
0.0000 0.0000 4.2850
Y Zn Te
4 2 2
Cartesian
2.1193 10.3096 3.2137
2.1193 3.9385 3.2137
2.1193 -3.9385 1.0712
2.1193 -10.3096 1.0712
2.1193 0.8848 3.2137
2.1193 -0.8848 1.0712
2.1193 7.1808 3.2137
2.1193 -7.1808 1.0712

=====

Y2ZnTe GGA-PBE optimized geometry; formation energy from raw total energies = -695.4 meV per atom; E above lowest polymorph = 0.149 eV per atom; space-group type = P4/mmm (123); energy = -5.031 eV/atom; crystal system = tetragonal
1.0
3.8348 0.0000 0.0000
0.0000 3.8348 0.0000
0.0000 0.0000 6.8473
Y Zn Te
2 1 1
Cartesian
0.0000 0.0000 1.6584
0.0000 0.0000 5.1890
1.9174 1.9174 0.0000
1.9174 1.9174 3.4237

=====

Y6ZnTe3 GGA-PBE optimized geometry; formation energy from raw total energies = -788.8 meV per atom; space-group type = P2_1/m (11); energy = -5.737 eV/atom; crystal system = monoclinic
1.0
11.1535 0.0000 0.0000
0.0000 4.0809 0.0000
-3.6298 0.0000 12.7585
Y Zn Te
12 2 6
Cartesian
-0.9653 1.0202 4.4499
-2.5226 1.0202 11.3701
1.8403 3.0607 4.2415
0.5241 3.0607 9.7615
3.9051 3.0607 1.4103
2.4115 1.0202 7.0822
5.1121 3.0607 5.6764
3.6185 1.0202 11.3483
6.9996 1.0202 2.9970
5.6834 1.0202 8.5171
10.0463 3.0607 1.3884
8.4890 3.0607 8.3086
4.0952 1.0202 3.7613
3.4284 3.0607 8.9972
1.2415 1.0202 1.8783
0.0020 3.0607 6.7100
0.5069 1.0202 11.9502
7.0167 3.0607 0.8083
7.5217 1.0202 6.0485
6.2822 3.0607 10.8803

=====

YZn2Te GGA-PBE optimized geometry; formation energy from raw total energies = -259.3 meV per atom; space-group type = F-43m (216); energy = -3.298 eV/atom; crystal system = cubic
1.0
0.0000 3.6188 3.6188
3.6188 0.0000 3.6188
3.6188 3.6188 0.0000
Y Zn Te
1 2 1
Cartesian
0.0000 0.0000 0.0000
1.8094 1.8094 1.8094
3.6188 3.6188 3.6188
5.4282 5.4282 5.4282

=====

Y3Zn5Te12 GGA-PBE optimized geometry; formation energy from raw total energies = -550.6 meV per atom; space-group type = Ia-3d (230); energy = -3.724 eV/atom; crystal system = cubic
1.0
-8.5128 8.5128 8.5128
8.5128 -8.5128 8.5128
8.5128 8.5128 -8.5128
Y Zn Te
12 20 48
Cartesian
4.2564 2.1282 0.0000
8.5128 4.2564 -2.1282
2.1282 0.0000 4.2564
10.6411 0.0000 4.2564
0.0000 4.2564 2.1282
4.2564 -2.1282 8.5128
4.2564 10.6411 0.0000
8.5128 4.2564 6.3846
-2.1282 8.5128 4.2564
6.3846 8.5128 4.2564
0.0000 4.2564 10.6411
4.2564 6.3846 8.5128
0.0000 0.0000 0.0000
4.2564 4.2564 -4.2564
4.2564 -4.2564 4.2564
8.5128 0.0000 0.0000
12.7693 2.1282 0.0000
8.5128 -4.2564 6.3846
6.3846 8.5128 -4.2564
6.3846 0.0000 4.2564
4.2564 6.3846 0.0000
8.5128 4.2564 2.1282
-4.2564 4.2564 4.2564
0.0000 8.5128 0.0000
0.0000 0.0000 8.5128
4.2564 4.2564 4.2564
0.0000 4.2564 6.3846
4.2564 2.1282 8.5128
2.1282 8.5128 4.2564
2.1282 0.0000 12.7693
0.0000 12.7693 2.1282
-4.2564 6.3846 8.5128
2.5807 -0.4281 1.1179
10.1886 5.3743 -4.6845
8.0848 -1.1179 2.5807
13.1974 -1.6758 3.1385
11.0935 0.4281 1.1179
10.1886 -3.1385 4.6845
1.1179 2.5807 -0.4281
11.6514 3.8283 -1.6758
5.3743 4.6845 -1.6758
7.3950 2.5807 0.4281
-0.4281 1.1179 2.5807
4.6845 -1.6758 5.3743
8.0848 7.3950 -2.5807
4.6845 1.6758 3.1385
7.3950 -2.5807 8.0848
5.3743 -4.6845 10.1886
3.1385 4.6845 1.6758
9.6307 5.9322 0.4281
2.5807 8.0848 -1.1179
10.1886 3.1385 3.8283
4.6845 10.1886 -3.1385
8.0848 1.1179 5.9322
1.6758 3.1385 4.6845
2.5807 0.4281 7.3950
5.9322 8.0848 1.1179
6.8371 5.3743 3.8283
0.4281 7.3950 2.5807
3.8283 -1.6758 11.6514
-1.6758 5.3743 4.6845
5.9322 0.4281 9.6307
-1.1179 2.5807 8.0848
5.3743 3.8283 6.8371
3.1385 13.1974 -1.6758
1.1179 11.0935 0.4281
3.8283 6.8371 5.3743
0.4281 1.1179 11.0935
3.8283 10.1886 3.1385
8.9409 7.3950 5.9322
1.1179 5.9322 8.0848
3.1385 3.8283 10.1886
-3.1385 4.6845 10.1886
7.3950 5.9322 8.9409
-1.6758 11.6514 3.8283
-2.5807 8.0848 7.3950
-4.6845 10.1886 5.3743
0.4281 9.6307 5.9322
-1.6758 3.1385 13.1974
5.9322 8.9409 7.3950